The following is a DFT calculation (PBE-GGA) of Li8Cd2Ni after structural relaxation.

Summary:
The density of states at the Fermi level comes out at 0.35 states/eV per atom. Its space-group type is C2/m. The calculation puts the formation enthalpy at 0 K at -71.3 meV/atom.

The structure in CIF format:
```
data_Li8Cd2Ni
_cell_length_a 4.4447
_cell_length_b 5.8493
_cell_length_c 7.5754
_cell_angle_alpha 98.98
_cell_angle_beta 107.06
_cell_angle_gamma 90.00
_space_group_name_H-M_alt 'P 1'
_space_group_IT_number 1
_space_group_name_Hall 'P 1'
loop_
_atom_site_label
_atom_site_fract_x
_atom_site_fract_y
_atom_site_fract_z
Li1 0.4089 0.5793 0.8177
Li2 0.6613 0.8986 0.3227
Li3 0.8484 0.8425 0.6967
Li4 0.9720 0.2426 0.9439
Li5 0.1516 0.1575 0.3033
Li6 0.3387 0.1014 0.6773
Li7 0.5911 0.4207 0.1823
Li8 0.0280 0.7574 0.0561
Cd1 0.7836 0.3525 0.5672
Cd2 0.2164 0.6475 0.4328
Ni1 0.5000 0.0000 0.0000
```